Below is a geometry-optimized PmTaAlOs2 structure, with properties calculated at the PBE-GGA level.

Geometry as extended XYZ:
```
10
Lattice="4.183 0.000 0.000 0.000 4.183 0.000 0.000 0.000 11.224" Properties=species:S:1:pos:R:3 pbc="T T T"
Pm 0.000 0.000 0.000
Pm 2.092 2.092 5.612
Ta 0.000 2.092 8.418
Ta 2.092 0.000 2.806
Al 0.000 2.092 2.806
Al 2.092 0.000 8.418
Os 0.000 0.000 4.344
Os 0.000 0.000 6.881
Os 2.092 2.092 1.268
Os 2.092 2.092 9.956
```

- Calculated volume: 19.640 Å³/atom
- Size of the total moment: 0.0 Bohr magnetons per cell
- Symmetry: I-4m2
- Crystal system: tetragonal

Below is a geometry-optimized TbPmAlOs structure, with properties calculated at the PBE-GGA level.

Geometry as extended XYZ:
```
16
Lattice="7.103 0.000 0.000 0.000 7.103 0.000 0.000 0.000 7.103" Properties=species:S:1:pos:R:3 pbc="T T T"
Tb 0.000 0.000 0.000
Tb 0.000 3.552 3.552
Tb 3.552 0.000 3.552
Tb 3.552 3.552 0.000
Pm 0.000 0.000 3.552
Pm 0.000 3.552 0.000
Pm 3.552 0.000 0.000
Pm 3.552 3.552 3.552
Al 1.776 1.776 5.327
Al 1.776 5.327 1.776
Al 5.327 1.776 1.776
Al 5.327 5.327 5.327
Os 1.776 1.776 1.776
Os 1.776 5.327 5.327
Os 5.327 1.776 5.327
Os 5.327 5.327 1.776
```

- Calculated volume: 22.400 Å³/atom
- Size of the total moment: 0.0 Bohr magnetons per cell
- Symmetry: F-43m
- Crystal system: cubic

Below is a geometry-optimized PmYAlOs structure, with properties calculated at the PBE-GGA level.

Geometry as extended XYZ:
```
16
Lattice="7.095 0.000 0.000 0.000 7.095 0.000 0.000 0.000 7.095" Properties=species:S:1:pos:R:3 pbc="T T T"
Pm 0.000 0.000 0.000
Pm 0.000 3.548 3.548
Pm 3.548 0.000 3.548
Pm 3.548 3.548 0.000
Y 0.000 0.000 3.548
Y 0.000 3.548 0.000
Y 3.548 0.000 0.000
Y 3.548 3.548 3.548
Al 1.774 1.774 1.774
Al 1.774 5.322 5.322
Al 5.322 1.774 5.322
Al 5.322 5.322 1.774
Os 1.774 1.774 5.322
Os 1.774 5.322 1.774
Os 5.322 1.774 1.774
Os 5.322 5.322 5.322
```

- Calculated volume: 22.326 Å³/atom
- Size of the total moment: 0.0 Bohr magnetons per cell
- Symmetry: F-43m
- Crystal system: cubic

Below is a geometry-optimized PmZrAlOs structure, with properties calculated at the PBE-GGA level.

Geometry as extended XYZ:
```
16
Lattice="6.918 0.000 0.000 0.000 6.918 0.000 0.000 0.000 6.918" Properties=species:S:1:pos:R:3 pbc="T T T"
Pm 0.000 0.000 0.000
Pm 0.000 3.459 3.459
Pm 3.459 0.000 3.459
Pm 3.459 3.459 0.000
Zr 0.000 0.000 3.459
Zr 0.000 3.459 0.000
Zr 3.459 0.000 0.000
Zr 3.459 3.459 3.459
Al 1.729 1.729 1.729
Al 1.729 5.188 5.188
Al 5.188 1.729 5.188
Al 5.188 5.188 1.729
Os 1.729 1.729 5.188
Os 1.729 5.188 1.729
Os 5.188 1.729 1.729
Os 5.188 5.188 5.188
```

- Calculated volume: 20.692 Å³/atom
- Size of the total moment: 0.0 Bohr magnetons per cell
- Symmetry: F-43m
- Crystal system: cubic

| no. | formation energy from the elements (eV/atom) |
| --- | --- |
| 1 | -0.34 |
| 2 | -0.17 |
| 3 | -0.18 |
| 4 | -0.15 |